Record 1
DFT (GGA-PBE) results for a geometry-optimized K6TiBi4 structure.

Lattice parameters (Å, degrees): 11.3437 11.3437 8.7697 90.00 90.00 120.00
With the nearest neighbours (Å) after each atom.
Fractional positions:
K: 0.0564 0.5282 0.0000  5 Bi 3.73-3.85, 1 Ti 3.97, 2 K 4.14
K: 0.1417 0.2833 0.3111  4 Bi 3.60-3.77
K: 0.1417 0.8583 0.3111  4 Bi 3.60-3.77
K: 0.2833 0.1417 0.8111  4 Bi 3.60-3.77
K: 0.4718 0.5282 0.0000  5 Bi 3.73-3.85, 1 Ti 3.97, 2 K 4.14
K: 0.4718 0.9436 0.0000  5 Bi 3.73-3.85, 1 Ti 3.97, 2 K 4.14
K: 0.5282 0.0564 0.5000  5 Bi 3.73-3.85, 1 Ti 3.97, 2 K 4.14
K: 0.5282 0.4718 0.5000  5 Bi 3.73-3.85, 1 Ti 3.97, 2 K 4.14
K: 0.7167 0.8583 0.3111  4 Bi 3.60-3.77
K: 0.8583 0.1417 0.8111  4 Bi 3.60-3.77
K: 0.8583 0.7167 0.8111  4 Bi 3.60-3.77
K: 0.9436 0.4718 0.5000  5 Bi 3.73-3.85, 1 Ti 3.97, 2 K 4.14
Ti: 0.3333 0.6667 0.6201  4 Bi 2.74-2.76
Ti: 0.6667 0.3333 0.1201  4 Bi 2.74-2.76
Bi: 0.1982 0.3965 0.7055  1 Ti 2.76
Bi: 0.1982 0.8018 0.7055  1 Ti 2.76
Bi: 0.3333 0.6667 0.3079  1 Ti 2.74
Bi: 0.3965 0.1982 0.2055  1 Ti 2.76
Bi: 0.6035 0.8018 0.7055  1 Ti 2.76
Bi: 0.6667 0.3333 0.8079  1 Ti 2.74
Bi: 0.8018 0.1982 0.2055  1 Ti 2.76
Bi: 0.8018 0.6035 0.2055  1 Ti 2.76

Calculated values
N(E_F), states/eV/f.u.: 7.69
Space-group type: No. 186
Formation enthalpy at 0 K, eV/atom: -0.311
Total moment, μB per cell: 4.19


Record 2
DFT (GGA-PBE) results for a geometry-optimized UNiRhAu structure.

Lattice parameters (Å, degrees): 4.6006 4.6006 4.6006 60.00 60.00 60.00
With the nearest neighbours (Å) after each atom.
Fractional positions:
U: 0.0000 0.0000 0.0000  4 Ni 2.82, 4 Rh 2.82
Ni: 0.7500 0.7500 0.7500  4 U 2.82, 4 Au 2.82
Rh: 0.2500 0.2500 0.2500  4 Au 2.82, 4 U 2.82
Au: 0.5000 0.5000 0.5000  4 Ni 2.82, 4 Rh 2.82

Calculated values
N(E_F), states/eV/f.u.: 4.98
Space-group type: No. 216
Formation enthalpy at 0 K, eV/atom: -0.231
Total moment, μB per cell: 1.77


Record 3
DFT (GGA-PBE) results for a geometry-optimized Rb3Na3Tl8 structure.

Lattice parameters (Å, degrees): 10.3055 10.3055 10.3055 150.09 107.78 80.09
With the nearest neighbours (Å) after each atom.
Fractional positions:
Rb: 0.0000 0.0000 0.0000  12 Tl 3.92-4.23, 4 Na 4.26
Rb: 0.3039 0.3039 0.0000  8 Tl 3.72-3.97, 4 Na 4.08-4.13
Rb: 0.6961 0.6961 0.0000  8 Tl 3.72-3.97, 4 Na 4.08-4.13
Na: 0.2743 0.5000 0.7743  6 Tl 3.27-3.40
Na: 0.5000 0.0000 0.5000  4 Tl 3.49, 4 Na 3.82
Na: 0.7257 0.5000 0.2257  6 Tl 3.27-3.40
Tl: 0.0398 0.6792 0.3606  4 Tl 3.14-3.39, 1 Na 3.27
Tl: 0.1379 0.8663 0.2716  3 Tl 3.14-3.19, 3 Na 3.40-3.49
Tl: 0.3185 0.6792 0.6394  4 Tl 3.14-3.39, 1 Na 3.27
Tl: 0.4054 0.1337 0.2716  3 Tl 3.14-3.19, 3 Na 3.40-3.49
Tl: 0.5946 0.8663 0.7284  3 Tl 3.14-3.19, 3 Na 3.40-3.49
Tl: 0.6815 0.3208 0.3606  4 Tl 3.14-3.39, 1 Na 3.27
Tl: 0.8621 0.1337 0.7284  3 Tl 3.14-3.19, 3 Na 3.40-3.49
Tl: 0.9602 0.3208 0.6394  4 Tl 3.14-3.39, 1 Na 3.27

Calculated values
N(E_F), states/eV/f.u.: 7.32
Space-group type: No. 71
Formation enthalpy at 0 K, eV/atom: -0.076
Total moment, μB per cell: 0.00


Number 1: electronic total energy -3.038 eV/atom. Number 2: electronic total energy -7.156 eV/atom. Number 3: electronic total energy -1.918 eV/atom.